A plane-wave DFT calculation with GGA-PBE was carried out for an optimized crystal structure of La2PBr2. Values from VASP.

Summary:
* total energy: -5.563 eV/atom
* space-group type: P-3m1

Structure (Quantum ESPRESSO input):
```
&SYSTEM
  ibrav = 0, nat = 5, ntyp = 3
/
ATOMIC_SPECIES
La 138.91 La.upf
P 30.97 P.upf
Br 79.90 Br.upf
CELL_PARAMETERS angstrom
4.270 0.000 0.000
-2.135 3.698 0.000
0.000 0.000 10.759
ATOMIC_POSITIONS angstrom
La 0.000 2.465 3.746
La 2.135 1.233 7.013
P 0.000 0.000 5.379
Br 0.000 2.465 8.886
Br 2.135 1.233 1.873
```

A plane-wave DFT calculation with GGA-PBE was carried out for an optimized crystal structure of LaY2CdRu. Values from VASP.

Summary:
* formation energy: -164.4 meV per atom
* total energy: -5.774 eV/atom
* space-group type: P4/mmm

Structure (Quantum ESPRESSO input):
```
&SYSTEM
  ibrav = 0, nat = 5, ntyp = 4
/
ATOMIC_SPECIES
La 138.91 La.upf
Y 88.91 Y.upf
Cd 112.41 Cd.upf
Ru 101.07 Ru.upf
CELL_PARAMETERS angstrom
5.408 0.000 0.000
0.000 5.408 0.000
0.000 0.000 5.343
ATOMIC_POSITIONS angstrom
La 0.000 0.000 0.000
Y 0.000 2.704 2.671
Y 2.704 0.000 2.671
Cd 2.704 2.704 0.000
Ru 0.000 0.000 2.671
```

A plane-wave DFT calculation with GGA-PBE was carried out for an optimized crystal structure of LiGdYCr. Values from VASP.

Summary:
* formation energy: 169.1 meV per atom
* total energy: -7.851 eV/atom
* space-group type: F-43m

Structure (Quantum ESPRESSO input):
```
&SYSTEM
  ibrav = 0, nat = 4, ntyp = 4
/
ATOMIC_SPECIES
Li 6.94 Li.upf
Gd 157.25 Gd.upf
Y 88.91 Y.upf
Cr 52.00 Cr.upf
CELL_PARAMETERS angstrom
0.000 3.614 3.614
3.614 0.000 3.614
3.614 3.614 0.000
ATOMIC_POSITIONS angstrom
Li 0.000 0.000 0.000
Gd 5.421 5.421 5.421
Y 1.807 1.807 1.807
Cr 3.614 3.614 3.614
```

A plane-wave DFT calculation with GGA-PBE was carried out for an optimized crystal structure of NbCoOs2Ru. Values from VASP.

Summary:
* formation energy: 1392.6 meV per atom
* total energy: -8.390 eV/atom
* space-group type: P4/mmm

Structure (Quantum ESPRESSO input):
```
&SYSTEM
  ibrav = 0, nat = 5, ntyp = 4
/
ATOMIC_SPECIES
Nb 92.91 Nb.upf
Co 58.93 Co.upf
Os 190.23 Os.upf
Ru 101.07 Ru.upf
CELL_PARAMETERS angstrom
4.361 0.000 0.000
0.000 4.361 0.000
0.000 0.000 4.430
ATOMIC_POSITIONS angstrom
Nb 0.000 0.000 0.000
Co 0.000 0.000 2.215
Os 0.000 2.181 2.215
Os 2.181 0.000 2.215
Ru 2.181 2.181 0.000
```

A plane-wave DFT calculation with GGA-PBE was carried out for an optimized crystal structure of Zn2As. Values from VASP.

Summary:
* formation energy: 146.5 meV per atom
* total energy: -2.253 eV/atom
* space-group type: C2/m
* polymorph energy (0 for the lowest one): 0.382 eV per formula unit

Structure (Quantum ESPRESSO input):
```
&SYSTEM
  ibrav = 0, nat = 6, ntyp = 2
/
ATOMIC_SPECIES
Zn 65.41 Zn.upf
As 74.92 As.upf
CELL_PARAMETERS angstrom
5.192 -1.431 0.000
5.192 1.431 0.000
-3.900 0.000 7.012
ATOMIC_POSITIONS angstrom
Zn 1.402 0.000 0.100
Zn -0.683 0.000 4.614
Zn 7.168 0.000 2.398
Zn 5.082 0.000 6.912
As 1.988 0.000 4.803
As 4.497 0.000 2.208
```

A plane-wave DFT calculation with GGA-PBE was carried out for an optimized crystal structure of CaCe2SmAs4. Values from VASP.

Summary:
* formation energy: -1389.8 meV per atom
* total energy: -6.038 eV/atom
* space-group type: P2/m

Structure (Quantum ESPRESSO input):
```
&SYSTEM
  ibrav = 0, nat = 8, ntyp = 4
/
ATOMIC_SPECIES
Ca 40.08 Ca.upf
Ce 140.12 Ce.upf
Sm 150.36 Sm.upf
As 74.92 As.upf
CELL_PARAMETERS angstrom
7.284 0.000 0.000
0.000 4.237 0.000
-2.459 0.000 6.918
ATOMIC_POSITIONS angstrom
Ca 0.000 0.000 0.000
Ce 2.413 0.000 3.459
Ce 3.642 2.118 0.000
Sm -1.230 2.118 3.459
As 0.016 0.000 5.182
As 1.261 2.118 1.773
As 3.564 2.118 5.145
As 4.809 0.000 1.736
```

A plane-wave DFT calculation with GGA-PBE was carried out for an optimized crystal structure of Rb2TaCuTe4. Values from VASP.

Summary:
* total energy: -4.444 eV/atom
* space-group type: Fddd

Structure (Quantum ESPRESSO input):
```
&SYSTEM
  ibrav = 0, nat = 16, ntyp = 4
/
ATOMIC_SPECIES
Rb 85.47 Rb.upf
Ta 180.95 Ta.upf
Cu 63.55 Cu.upf
Te 127.60 Te.upf
CELL_PARAMETERS angstrom
0.000 7.595 13.432
3.034 0.000 13.432
3.034 7.595 0.000
ATOMIC_POSITIONS angstrom
Rb 2.276 5.696 1.548
Rb 3.793 9.493 8.265
Rb 2.276 5.696 18.600
Rb 3.793 9.493 25.317
Ta 2.276 5.696 10.074
Ta 3.793 9.493 16.791
Cu 0.759 1.899 3.358
Cu 5.310 13.291 23.507
Te 2.277 3.413 4.893
Te 3.792 7.210 11.610
Te 2.275 7.979 4.893
Te 2.275 3.413 15.255
Te 3.794 11.776 11.610
Te 3.794 7.210 21.972
Te 2.277 7.979 15.255
Te 3.792 11.776 21.972
```

A plane-wave DFT calculation with GGA-PBE was carried out for an optimized crystal structure of BeInTe2. Values from VASP.

Summary:
* total energy: -3.343 eV/atom
* space-group type: Pm
* polymorph energy (0 for the lowest one): 0.082 eV per formula unit

Structure (Quantum ESPRESSO input):
```
&SYSTEM
  ibrav = 0, nat = 4, ntyp = 3
/
ATOMIC_SPECIES
Be 9.01 Be.upf
In 114.82 In.upf
Te 127.60 Te.upf
CELL_PARAMETERS angstrom
4.536 0.000 0.000
0.000 4.109 0.000
-1.300 0.000 6.699
ATOMIC_POSITIONS angstrom
Be 0.000 0.000 0.000
In 0.380 2.055 3.946
Te 0.709 2.055 0.974
Te 2.644 0.000 4.378
```

A plane-wave DFT calculation with GGA-PBE was carried out for an optimized crystal structure of CoTeH2. Values from VASP.

Summary:
* total energy: -3.799 eV/atom
* space-group type: I4_1/amd
* polymorph energy (0 for the lowest one): 0.000 eV per formula unit

Structure (Quantum ESPRESSO input):
```
&SYSTEM
  ibrav = 0, nat = 8, ntyp = 3
/
ATOMIC_SPECIES
Co 58.93 Co.upf
Te 127.60 Te.upf
H 1.01 H.upf
CELL_PARAMETERS angstrom
-2.322 2.322 4.252
2.322 -2.322 4.252
2.322 2.322 -4.252
ATOMIC_POSITIONS angstrom
Co 2.322 1.161 1.063
Co 0.000 1.161 3.189
Te 2.322 -1.161 3.189
Te 0.000 3.483 1.063
H 2.322 0.000 0.000
H -1.161 1.161 2.126
H 0.000 0.000 4.252
H 1.161 1.161 2.126
```

A plane-wave DFT calculation with GGA-PBE was carried out for an optimized crystal structure of RbSn2Pd2. Values from VASP.

Summary:
* formation energy: -252.8 meV per atom
* total energy: -4.125 eV/atom
* space-group type: P4/mbm
* polymorph energy (0 for the lowest one): 0.665 eV per formula unit

Structure (Quantum ESPRESSO input):
```
&SYSTEM
  ibrav = 0, nat = 10, ntyp = 3
/
ATOMIC_SPECIES
Rb 85.47 Rb.upf
Sn 118.71 Sn.upf
Pd 106.42 Pd.upf
CELL_PARAMETERS angstrom
8.627 0.000 0.000
0.000 8.627 0.000
0.000 0.000 3.097
ATOMIC_POSITIONS angstrom
Rb 0.000 0.000 0.000
Rb 4.313 4.313 0.000
Sn 1.183 3.131 1.549
Sn 3.131 7.444 1.549
Sn 5.496 1.183 1.549
Sn 7.444 5.496 1.549
Pd 1.259 5.572 0.000
Pd 3.055 1.259 0.000
Pd 5.572 7.368 0.000
Pd 7.368 3.055 0.000
```

A plane-wave DFT calculation with GGA-PBE was carried out for an optimized crystal structure of Nd4Pu3ThS8. Values from VASP.

Summary:
* total energy: -8.324 eV/atom
* space-group type: R-3m

Structure (Quantum ESPRESSO input):
```
&SYSTEM
  ibrav = 0, nat = 16, ntyp = 4
/
ATOMIC_SPECIES
Nd 144.24 Nd.upf
Pu 244.00 Pu.upf
Th 232.04 Th.upf
S 32.06 S.upf
CELL_PARAMETERS angstrom
4.017 2.319 6.592
-4.017 2.319 6.592
0.000 -4.638 6.592
ATOMIC_POSITIONS angstrom
Nd 0.000 0.000 0.000
Nd -2.008 -1.160 6.592
Nd -2.008 1.160 13.185
Nd 0.000 2.319 6.592
Pu -4.017 0.000 9.888
Pu -2.008 1.160 3.296
Pu 2.008 1.160 3.296
Th 0.000 0.000 9.889
S -2.032 -1.173 11.485
S 0.000 0.000 4.869
S 0.000 -2.346 8.292
S -2.032 1.173 8.292
S 2.032 -1.173 11.485
S 0.000 2.346 11.485
S 0.000 0.000 14.908
S 2.032 1.173 8.292
```

A plane-wave DFT calculation with GGA-PBE was carried out for an optimized crystal structure of ScAg3I. Values from VASP.

Summary:
* total energy: -2.507 eV/atom
* space-group type: Pm-3m
* polymorph energy (0 for the lowest one): 0.000 eV per formula unit

Structure (Quantum ESPRESSO input):
```
&SYSTEM
  ibrav = 0, nat = 5, ntyp = 3
/
ATOMIC_SPECIES
Sc 44.96 Sc.upf
Ag 107.87 Ag.upf
I 126.90 I.upf
CELL_PARAMETERS angstrom
5.363 0.000 0.000
0.000 5.363 0.000
0.000 0.000 5.363
ATOMIC_POSITIONS angstrom
Sc 0.000 0.000 0.000
Ag 0.000 0.000 2.681
Ag 0.000 2.681 0.000
Ag 2.681 0.000 0.000
I 2.681 2.681 2.681
```